Entry from Alexandria: a relaxed CrCdF2 crystal (GGA+U).

POSCAR file:
```
CrCdF2
1.0
1.6582 0.9574 7.9884
-1.6582 0.9574 7.9884
0.0000 -1.9148 7.9884
Cr Cd F
1 1 2
direct
0.0000 0.0000 0.0000
0.5000 0.5000 0.5000
0.3741 0.3741 0.3741
0.6259 0.6259 0.6259
```

Properties
Total moment   4.112 μB/cell
Offset from the most stable computed form   0.0 kJ per mole of atoms